# 1
Here is a geometry-optimized LiLaBr2 structure from Alexandria via LeMat-Bulk. Energies are from PBE.

Its theoretical density is 5.205 g/cm3. As for the crystal system: orthorhombic. Its total energy is -3.7730 eV per atom. The value obtained for the uncorrected formation energy is -1.23 eV/atom.

The space group is Immm (No. 71) and the conventional cell measures 3.799, 5.890 and 8.716 Å, with angles of 90.00, 90.00 and 90.00 degrees. The inequivalent atoms are Li at (0.000, 0.000, 0.000), La at (0.000, 0.000, 0.500) and Br at (0.000, 0.500, 0.300).

---

# 2
Here is a geometry-optimized SrSnAu2 structure from Alexandria via LeMat-Bulk. Energies are from PBE.

Its theoretical density is 10.015 g/cm3. As for the crystal system: tetragonal. Its total energy is -3.5148 eV per atom.

The space group is P4/mmm (No. 123) and the conventional cell measures 3.776, 3.776 and 6.982 Å, with angles of 90.00, 90.00 and 90.00 degrees. The inequivalent atoms are Sr at (0.000, 0.000, 0.000), Sn at (0.000, 0.000, 0.500) and Au at (0.500, 0.500, 0.279).

---

# 3
Here is a geometry-optimized Ho4CS structure from Alexandria via LeMat-Bulk. Energies are from PBE.

Its theoretical density is 8.114 g/cm3. As for the crystal system: monoclinic. Its total energy is -6.0830 eV per atom. The value obtained for the uncorrected formation energy is -0.81 eV/atom.

The space group is P2/m (No. 10) and the conventional cell measures 6.357, 3.684 and 6.492 Å, with angles of 90.00, 108.69 and 90.00 degrees. The inequivalent atoms are Ho at (0.234, 0.000, 0.217), Ho at (0.243, 0.500, 0.773), C at (0.000, 0.500, 0.000) and S at (0.000, 0.000, 0.500).

---

Result set for V: 195.03 99.52 144.03 Å³/cell, one per record in the order listed.